[1]
Compound: InAs2H
Source: the Alexandria database
Functional: PBE-GGA
Structure: relaxed

Summary:
offset from the most stable computed form	0.382	eV per atom
uncorrected energy	-3.448	eV/atom

Cell and atoms, written as CIF:
```
data_InAs2H
_cell_length_a 5.898
_cell_length_b 5.898
_cell_length_c 8.617
_cell_angle_alpha 90.00
_cell_angle_beta 90.00
_cell_angle_gamma 90.00
_symmetry_space_group_name_H-M 'I -4 2 d'
_symmetry_Int_Tables_number 122
_symmetry_space_group_name_Hall 'I -4 2bw'
loop_
_atom_site_label
_atom_site_fract_x
_atom_site_fract_y
_atom_site_fract_z
In1 0.000 0.000 0.000
As1 0.132 0.250 0.625
H1 0.000 0.000 0.500
```

---

[2]
Compound: CaNdIn
Source: the Alexandria database
Functional: PBE-GGA
Structure: relaxed

Summary:
ΔE_f	-0.234	eV per atom
offset from the most stable computed form	0.191	eV per atom
uncorrected energy	-3.404	eV/atom

Cell and atoms, written as CIF:
```
data_CaNdIn
_cell_length_a 5.3850
_cell_length_b 5.3850
_cell_length_c 3.7477
_cell_angle_alpha 90.00
_cell_angle_beta 90.00
_cell_angle_gamma 120.00
_symmetry_space_group_name_H-M 'P 3 m 1'
_symmetry_Int_Tables_number 156
loop_
_symmetry_equiv_pos_as_xyz
'x,y,z'
'-y,x-y,z'
'-x+y,-x,z'
'-y,-x,z'
'-x+y,y,z'
'x,x-y,z'
loop_
_atom_site_label
_atom_site_fract_x
_atom_site_fract_y
_atom_site_fract_z
Ca1 0.0000 0.0000 0.0000
Nd1 0.3333 0.6667 0.5675
In1 0.6667 0.3333 0.2603
```

---

[3]
Compound: BeInTeMo2
Source: the Alexandria database
Functional: PBE-GGA
Structure: relaxed

Summary:
ΔE_f (raw)	1.4749	eV per atom
uncorrected energy	-4.779	eV/atom

Cell and atoms, written as CIF:
```
data_BeInTeMo2
_cell_length_a 5.044
_cell_length_b 5.044
_cell_length_c 4.360
_cell_angle_alpha 90.00
_cell_angle_beta 90.00
_cell_angle_gamma 90.00
_symmetry_space_group_name_H-M 'P 4/m m m'
_symmetry_Int_Tables_number 123
_symmetry_space_group_name_Hall '-P 4 2'
loop_
_atom_site_label
_atom_site_fract_x
_atom_site_fract_y
_atom_site_fract_z
Be1 0.000 0.000 0.000
In1 0.500 0.500 0.000
Te1 0.000 0.000 0.500
Mo1 0.000 0.500 0.500
```